#i
Below is crystalline Os3RuS at its relaxed geometry, with properties calculated at the PBE level.

The space group is Pm-3m (No. 221) and the conventional cell measures 4.681, 4.681 and 4.681 Å, with angles of 90.00, 90.00 and 90.00 degrees. The distinct sites, in fractional coordinates, are Os at (0.000, 0.000, 0.500), Ru at (0.000, 0.000, 0.000) and S at (0.500, 0.500, 0.500).

The density of states at the Fermi level comes out at 1.50 states/eV per atom.

#ii
Below is crystalline Os3RuS at its relaxed geometry, with properties calculated at the PBE level.

The space group is Pm-3m (No. 221) and the conventional cell measures 4.295, 4.295 and 4.295 Å, with angles of 90.00, 90.00 and 90.00 degrees. The distinct sites, in fractional coordinates, are Os at (0.000, 0.000, 0.500), Ru at (0.500, 0.500, 0.500) and S at (0.000, 0.000, 0.000).

The density of states at the Fermi level comes out at 1.06 states/eV per atom.

Most stable: #ii (next structure +1342 meV per atom)

#i
Below is crystalline SbTe2OsRu at its relaxed geometry, with properties calculated at the PBE level.

The space group is P4/mmm (No. 123) and the conventional cell measures 5.154, 5.154 and 5.001 Å, with angles of 90.00, 90.00 and 90.00 degrees. The distinct sites, in fractional coordinates, are Sb at (0.000, 0.000, 0.000), Te at (0.000, 0.500, 0.500), Os at (0.000, 0.000, 0.500) and Ru at (0.500, 0.500, 0.000).

The density of states at the Fermi level comes out at 1.07 states/eV per atom.

#ii
Below is crystalline SbTe2OsRu at its relaxed geometry, with properties calculated at the PBE level.

The space group is P4/mmm (No. 123) and the conventional cell measures 5.053, 5.053 and 4.954 Å, with angles of 90.00, 90.00 and 90.00 degrees. The distinct sites, in fractional coordinates, are Sb at (0.000, 0.000, 0.000), Te at (0.000, 0.500, 0.500), Os at (0.500, 0.500, 0.000) and Ru at (0.000, 0.000, 0.500).

The density of states at the Fermi level comes out at 1.08 states/eV per atom.

Most stable: #i (next structure +31 meV per atom)

#i
Below is crystalline ScOs3Ru at its relaxed geometry, with properties calculated at the PBE level.

The space group is Pm-3m (No. 221) and the conventional cell measures 4.659, 4.659 and 4.659 Å, with angles of 90.00, 90.00 and 90.00 degrees. The distinct sites, in fractional coordinates, are Sc at (0.000, 0.000, 0.000), Os at (0.000, 0.500, 0.500) and Ru at (0.500, 0.500, 0.500).

The density of states at the Fermi level comes out at 1.08 states/eV per atom.

#ii
Below is crystalline ScOs3Ru at its relaxed geometry, with properties calculated at the PBE level.

The space group is Pm-3m (No. 221) and the conventional cell measures 4.529, 4.529 and 4.529 Å, with angles of 90.00, 90.00 and 90.00 degrees. The distinct sites, in fractional coordinates, are Sc at (0.000, 0.000, 0.000), Os at (0.000, 0.000, 0.500) and Ru at (0.500, 0.500, 0.500).

The density of states at the Fermi level comes out at 1.48 states/eV per atom.

Most stable: #i (next structure +886 meV per atom)

#i
Below is crystalline ScOs2Ru at its relaxed geometry, with properties calculated at the PBE level.

The space group is F-43m (No. 216) and the conventional cell measures 6.274, 6.274 and 6.274 Å, with angles of 90.00, 90.00 and 90.00 degrees. The distinct sites, in fractional coordinates, are Sc at (0.000, 0.000, 0.000), Os at (0.000, 0.000, 0.500), Os at (0.250, 0.250, 0.750) and Ru at (0.250, 0.250, 0.250).

The density of states at the Fermi level comes out at 1.56 states/eV per atom.

#ii
Below is crystalline ScOs2Ru at its relaxed geometry, with properties calculated at the PBE level.

The space group is Pmmm (No. 47) and the conventional cell measures 2.777, 3.916 and 5.732 Å, with angles of 90.00, 90.00 and 90.00 degrees. The distinct sites, in fractional coordinates, are Sc at (0.000, 0.000, 0.000), Os at (0.500, 0.500, 0.276) and Ru at (0.000, 0.000, 0.500).

The density of states at the Fermi level comes out at 1.12 states/eV per atom.

Most stable: #ii (next structure +73 meV per atom)

#i
Below is crystalline ScOs2Ru at its relaxed geometry, with properties calculated at the PBE level.

The space group is Fm-3m (No. 225) and the conventional cell measures 6.278, 6.278 and 6.278 Å, with angles of 90.00, 90.00 and 90.00 degrees. The distinct sites, in fractional coordinates, are Sc at (0.000, 0.000, 0.000), Os at (0.250, 0.250, 0.250) and Ru at (0.000, 0.000, 0.500).

The density of states at the Fermi level comes out at 1.49 states/eV per atom.

#ii
Below is crystalline ScOs2Ru at its relaxed geometry, with properties calculated at the PBE level.

The space group is I-42d (No. 122) and the conventional cell measures 7.503, 7.503 and 4.991 Å, with angles of 90.00, 90.00 and 90.00 degrees. The distinct sites, in fractional coordinates, are Sc at (0.000, 0.000, 0.000), Os at (0.200, 0.250, 0.625) and Ru at (0.000, 0.000, 0.500).

The density of states at the Fermi level comes out at 1.20 states/eV per atom.

Most stable: #i (next structure +262 meV per atom)

#i
Below is crystalline ScOs2Ru at its relaxed geometry, with properties calculated at the PBE level.

The space group is C2/m (No. 12) and the conventional cell measures 9.564, 2.840 and 4.627 Å, with angles of 90.00, 101.65 and 90.00 degrees. The distinct sites, in fractional coordinates, are Sc at (0.000, 0.000, 0.000), Os at (0.233, 0.000, 0.736) and Ru at (0.000, 0.500, 0.500).

The density of states at the Fermi level comes out at 0.98 states/eV per atom.

#ii
Below is crystalline ScOs2Ru at its relaxed geometry, with properties calculated at the PBE level.

The space group is I-4m2 (No. 119) and the conventional cell measures 3.960, 3.960 and 7.817 Å, with angles of 90.00, 90.00 and 90.00 degrees. The distinct sites, in fractional coordinates, are Sc at (0.000, 0.000, 0.000), Os at (0.000, 0.000, 0.500), Os at (0.000, 0.500, 0.750) and Ru at (0.000, 0.500, 0.250).

The density of states at the Fermi level comes out at 1.54 states/eV per atom.

#iii
Below is crystalline ScOs2Ru at its relaxed geometry, with properties calculated at the PBE level.

The space group is Pmmm (No. 47) and the conventional cell measures 2.981, 4.473 and 4.589 Å, with angles of 90.00, 90.00 and 90.00 degrees. The distinct sites, in fractional coordinates, are Sc at (0.000, 0.000, 0.000), Os at (0.000, 0.500, 0.500), Os at (0.500, 0.000, 0.500) and Ru at (0.500, 0.500, 0.000).

The density of states at the Fermi level comes out at 1.21 states/eV per atom.

#iv
Below is crystalline ScOs2Ru at its relaxed geometry, with properties calculated at the PBE level.

The space group is P4mm (No. 99) and the conventional cell measures 2.828, 2.828 and 7.810 Å, with angles of 90.00, 90.00 and 90.00 degrees. The distinct sites, in fractional coordinates, are Sc at (0.000, 0.000, 0.000), Os at (0.000, 0.000, 0.499), Os at (0.500, 0.500, 0.275) and Ru at (0.500, 0.500, 0.729).

The density of states at the Fermi level comes out at 0.72 states/eV per atom.

Most stable: #i (next structure +6 meV per atom)

#i
Below is crystalline ScOs2Ru at its relaxed geometry, with properties calculated at the PBE level.

The space group is P4/mmm (No. 123) and the conventional cell measures 3.905, 3.905 and 4.017 Å, with angles of 90.00, 90.00 and 90.00 degrees. The distinct sites, in fractional coordinates, are Sc at (0.000, 0.000, 0.000), Os at (0.000, 0.500, 0.500) and Ru at (0.500, 0.500, 0.000).

The density of states at the Fermi level comes out at 1.36 states/eV per atom.

#ii
Below is crystalline ScOs2Ru at its relaxed geometry, with properties calculated at the PBE level.

The space group is Cmmm (No. 65) and the conventional cell measures 5.528, 7.893 and 2.791 Å, with angles of 90.00, 90.00 and 90.00 degrees. The distinct sites, in fractional coordinates, are Sc at (0.000, 0.000, 0.000), Os at (0.250, 0.250, 0.500) and Ru at (0.000, 0.500, 0.000).

The density of states at the Fermi level comes out at 0.93 states/eV per atom.

Most stable: #ii (next structure +24 meV per atom)

#i
Below is crystalline ScOs2Ru at its relaxed geometry, with properties calculated at the PBE level.

The space group is R3m (No. 160, hexagonal axes) and the conventional cell measures 2.8107, 2.8107 and 27.1167 Å, with angles of 90.00, 90.00 and 120.00 degrees. The distinct sites, in fractional coordinates, are Sc at (0.0000, 0.0000, 0.0000), Os at (0.0000, 0.0000, 0.5009), Os at (0.0000, 0.0000, 0.7552) and Ru at (0.0000, 0.0000, 0.2484).

The density of states at the Fermi level comes out at 1.20 states/eV per atom.

#ii
Below is crystalline ScOs2Ru at its relaxed geometry, with properties calculated at the PBE level.

The space group is I4/mmm (No. 139) and the conventional cell measures 3.850, 3.850 and 8.291 Å, with angles of 90.00, 90.00 and 90.00 degrees. The distinct sites, in fractional coordinates, are Sc at (0.000, 0.000, 0.000), Os at (0.000, 0.500, 0.250) and Ru at (0.000, 0.000, 0.500).

The density of states at the Fermi level comes out at 1.19 states/eV per atom.

#iii
Below is crystalline ScOs2Ru at its relaxed geometry, with properties calculated at the PBE level.

The space group is P4/mmm (No. 123) and the conventional cell measures 4.505, 4.505 and 3.026 Å, with angles of 90.00, 90.00 and 90.00 degrees. The distinct sites, in fractional coordinates, are Sc at (0.000, 0.000, 0.000), Os at (0.000, 0.500, 0.500) and Ru at (0.500, 0.500, 0.000).

The density of states at the Fermi level comes out at 1.44 states/eV per atom.

#iv
Below is crystalline ScOs2Ru at its relaxed geometry, with properties calculated at the PBE level.

The space group is Immm (No. 71) and the conventional cell measures 2.839, 4.392 and 10.122 Å, with angles of 90.00, 90.00 and 90.00 degrees. The distinct sites, in fractional coordinates, are Sc at (0.000, 0.000, 0.000), Os at (0.000, 0.500, 0.219) and Ru at (0.000, 0.000, 0.500).

The density of states at the Fermi level comes out at 0.88 states/eV per atom.

Most stable: #iv (next structure +23 meV per atom)